CrBiH3: optimized geometry, GGA-PBE.

The structure belongs to space group Pm-3m (No. 221); the cell edges are 3.699, 3.699 and 3.699 Å and the angles 90.00°, 90.00° and 90.00°. The inequivalent atoms are Cr at (0.000, 0.000, 0.000), Bi at (0.500, 0.500, 0.500) and H at (0.000, 0.000, 0.500).

The calculation puts the energy above the most stable polymorph in this dataset at 0.0 meV per atom.



Li3HoPa3Se8: optimized geometry, GGA-PBE.

The structure belongs to space group R-3m (No. 166, hexagonal axes); the cell edges are 8.0845, 8.0845 and 19.8134 Å and the angles 90.00°, 90.00° and 120.00°. The inequivalent atoms are Li at (0.0000, 0.5000, 0.0000), Ho at (0.0000, 0.0000, 0.5000), Pa at (0.0000, 0.5000, 0.5000), Se at (0.0000, 0.0000, 0.2548) and Se at (0.0025, 0.5013, 0.2513).

For the energy relative to the elements, uncorrected, the calculation gives -1.384 eV/atom.



Looking at total magnetic moment for the records above, in order, we have 0.433; 0.330 μB per atom.
Looking at total DFT energy (no corrections) for the records above, in order, we have -4.349; -5.829 eV/atom.